1.
# ErTm3Al4 (GGA-PBE, optimized geometry)
# energy relative to the elements = -0.39 eV per atom
# symmetry = No. 51
# energy = -72.15 eV per cell
# mass density = 7.2 g/cm3
data_ErTm3Al4
_chemical_formula_sum 'Er2 Tm6 Al8'
_cell_length_a 5.0353
_cell_length_b 7.0801
_cell_length_c 10.0683
_cell_angle_alpha 90.00
_cell_angle_beta 90.00
_cell_angle_gamma 90.00
_space_group_name_H-M_alt 'P 1'
_space_group_IT_number 1
loop_
_space_group_symop_operation_xyz
'x,y,z'
loop_
_atom_site_label
_atom_site_fract_x
_atom_site_fract_y
_atom_site_fract_z
Tm1 0.4992 0.5000 0.2500
Tm2 0.0000 0.0000 0.0000
Tm3 0.0000 0.0000 0.5000
Tm4 0.5008 0.5000 0.7500
Tm5 0.5008 0.0000 0.7500
Tm6 0.4992 0.0000 0.2500
Al1 0.5000 0.2491 0.0000
Al2 0.0011 0.2491 0.7500
Al3 0.5000 0.7509 0.0000
Al4 0.0011 0.7509 0.7500
Al5 0.5000 0.7509 0.5000
Al6 0.9989 0.2491 0.2500
Al7 0.5000 0.2491 0.5000
Al8 0.9989 0.7509 0.2500
Er1 0.0000 0.5000 0.5000
Er2 0.0000 0.5000 0.0000

***

2.
# Er3Tm2Al3 (GGA-PBE, optimized geometry)
# energy relative to the elements = -0.30 eV per atom
# symmetry = No. 71
# energy = -36.29 eV per cell
# mass density = 7.8 g/cm3
data_Er3Tm2Al3
_chemical_formula_sum 'Er3 Tm2 Al3'
_cell_length_a 3.6199
_cell_length_b 5.1063
_cell_length_c 11.1048
_cell_angle_alpha 103.29
_cell_angle_beta 99.38
_cell_angle_gamma 90.00
_space_group_name_H-M_alt 'P 1'
_space_group_IT_number 1
loop_
_space_group_symop_operation_xyz
'x,y,z'
loop_
_atom_site_label
_atom_site_fract_x
_atom_site_fract_y
_atom_site_fract_z
Al1 0.0000 0.5000 0.0000
Al2 0.1167 0.1167 0.2333
Al3 0.8833 0.8833 0.7667
Er1 0.3788 0.3788 0.7577
Er2 0.6212 0.6212 0.2423
Er3 0.5000 0.0000 0.0000
Tm1 0.7312 0.2312 0.4624
Tm2 0.2688 0.7688 0.5376

***

3.
# ErTmAl2 (GGA-PBE, optimized geometry)
# energy relative to the elements = -0.39 eV per atom
# symmetry = No. 123
# energy = -18.09 eV per cell
# mass density = 7.2 g/cm3
data_ErTmAl2
_chemical_formula_sum 'Er1 Tm1 Al2'
_cell_length_a 3.5489
_cell_length_b 5.0383
_cell_length_c 5.0383
_cell_angle_alpha 90.00
_cell_angle_beta 90.00
_cell_angle_gamma 90.00
_space_group_name_H-M_alt 'P 1'
_space_group_IT_number 1
loop_
_space_group_symop_operation_xyz
'x,y,z'
loop_
_atom_site_label
_atom_site_fract_x
_atom_site_fract_y
_atom_site_fract_z
Al1 0.0000 0.5000 0.0000
Al2 0.0000 0.0000 0.5000
Er1 0.5000 0.5000 0.5000
Tm1 0.5000 0.0000 0.0000

***

4.
# Er3Tm3Al2 (GGA-PBE, optimized geometry)
# energy relative to the elements = -0.11 eV per atom
# symmetry = No. 63
# energy = -71.01 eV per cell
# mass density = 8.1 g/cm3
data_Er3Tm3Al2
_chemical_formula_sum 'Er6 Tm6 Al4'
_cell_length_a 5.0624
_cell_length_b 6.2549
_cell_length_c 15.0015
_cell_angle_alpha 90.00
_cell_angle_beta 90.00
_cell_angle_gamma 113.87
_space_group_name_H-M_alt 'P 1'
_space_group_IT_number 1
loop_
_space_group_symop_operation_xyz
'x,y,z'
loop_
_atom_site_label
_atom_site_fract_x
_atom_site_fract_y
_atom_site_fract_z
Tm1 0.2565 0.5130 0.7500
Tm2 0.0386 0.0771 0.6054
Tm3 0.7435 0.4870 0.2500
Tm4 0.9614 0.9229 0.3946
Tm5 0.9614 0.9229 0.1054
Tm6 0.0386 0.0771 0.8946
Er1 0.3509 0.7019 0.9711
Er2 0.5407 0.0814 0.7500
Er3 0.6491 0.2981 0.0289
Er4 0.6491 0.2981 0.4711
Er5 0.3509 0.7019 0.5289
Er6 0.4593 0.9186 0.2500
Al1 0.7790 0.5580 0.6498
Al2 0.7790 0.5580 0.8502
Al3 0.2210 0.4420 0.3502
Al4 0.2210 0.4420 0.1498